The following is a DFT calculation (PBE) of a geometry-optimized Be2Nb2ZnIr5 structure.

Results
Calculated total energy = -7.84 eV per atom
Space-group type = No. 127
Energy of formation from the pure elements = -0.526 eV per atom
Calculated volume = 272.7 Å³ per cell

a = 3.0040 Å, b = 9.5276 Å, c = 9.5276 Å
α = 90.00°, β = 90.00°, γ = 90.00°
Fractional coordinates of all 20 atoms:
Be1 0.0000 0.1251 0.6251
Be2 0.0000 0.8749 0.3749
Be3 0.0000 0.6251 0.8749
Be4 0.0000 0.3749 0.1251
Nb1 0.0000 0.6774 0.1774
Nb2 0.0000 0.3226 0.8226
Nb3 0.0000 0.1774 0.3226
Nb4 0.0000 0.8226 0.6774
Zn1 0.0000 0.0000 0.0000
Zn2 0.0000 0.5000 0.5000
Ir1 0.5000 0.2109 0.0650
Ir2 0.5000 0.7891 0.9350
Ir3 0.5000 0.0650 0.7891
Ir4 0.5000 0.7109 0.4350
Ir5 0.5000 0.9350 0.2109
Ir6 0.5000 0.2891 0.5650
Ir7 0.5000 0.5650 0.7109
Ir8 0.5000 0.4350 0.2891
Ir9 0.5000 0.5000 0.0000
Ir10 0.5000 0.0000 0.5000